# LaAsSCl2

A relaxed structure of LaAsSCl2 (GGA-PBE, Alexandria).

Summary:
**Crystal system**: tetragonal
**Formation energy without anion corrections**: -14.3 kcal/mol of atoms
**VASP energy**: -4.098 eV/atom
**Total magnetic moment**: 0.5 Bohr magnetons per cell
**Volume**: 25.40 Å³/atom

Cell lengths 4.985, 4.985, 5.110 Å; angles 90.00, 90.00, 90.00 degrees
Site moments in Bohr magnetons follow the coordinates.
Sites, in units of the cell vectors:
1 As 0.000 0.000 0.000  0.01
2 Cl 0.000 0.500 0.000  0.00
3 Cl 0.500 0.000 0.000  0.00
4 S 0.000 0.000 0.500  -0.01
5 La 0.500 0.500 0.500  0.34